VASP calculation (PBE) on a relaxed structure of Ac2TmMg16.

## Properties
The space group is No. 160.

abc: 7.9771 7.9771 7.9771
angles: 82.71 82.71 82.71
With the nearest neighbours (Å) after each atom.
Positions (direct):
Ac (0.0000, 0.0000, 0.0000)  1 Tm 3.71, 18 Mg 3.74-4.14
Ac (0.3265, 0.3265, 0.3265)  13 Mg 3.56-3.97
Tm (0.7601, 0.7601, 0.7601)  13 Mg 3.15-3.43
Mg (0.0171, 0.0171, 0.5140)  8 Mg 3.04-3.25, 1 Tm 3.36
Mg (0.0171, 0.5140, 0.0171)  8 Mg 3.04-3.25, 1 Tm 3.36
Mg (0.1696, 0.6650, 0.6650)  9 Mg 3.03-3.14, 1 Tm 3.27
Mg (0.3149, 0.3149, 0.8263)  9 Mg 3.04-3.30
Mg (0.3149, 0.8263, 0.3149)  9 Mg 3.04-3.30
Mg (0.3716, 0.6660, 0.9624)  8 Mg 3.03-3.25
Mg (0.3716, 0.9624, 0.6660)  8 Mg 3.03-3.25
Mg (0.5140, 0.0171, 0.0171)  8 Mg 3.04-3.25, 1 Tm 3.36
Mg (0.5568, 0.5568, 0.5568)  6 Mg 3.14-3.30, 1 Tm 3.15
Mg (0.6650, 0.1696, 0.6650)  9 Mg 3.03-3.14, 1 Tm 3.27
Mg (0.6650, 0.6650, 0.1696)  9 Mg 3.03-3.14, 1 Tm 3.27
Mg (0.6660, 0.3716, 0.9624)  8 Mg 3.03-3.25
Mg (0.6660, 0.9624, 0.3716)  8 Mg 3.03-3.25
Mg (0.8263, 0.3149, 0.3149)  9 Mg 3.04-3.30
Mg (0.9624, 0.3716, 0.6660)  8 Mg 3.03-3.25
Mg (0.9624, 0.6660, 0.3716)  8 Mg 3.03-3.25



VASP calculation (PBE) on a relaxed structure of Ac3TmMg8.

## Properties
The space group is No. 160.

abc: 10.8664 10.8664 10.8664
angles: 33.55 33.55 33.55
With the nearest neighbours (Å) after each atom.
Positions (direct):
Ac (0.0000, 0.0000, 0.0000)  12 Mg 3.59-3.67, 3 Tm 3.82, 1 Ac 3.88
Ac (0.1262, 0.1262, 0.1262)  12 Mg 3.68-3.73, 4 Ac 3.86-3.88
Ac (0.5033, 0.5033, 0.5033)  12 Mg 3.68-3.79, 1 Tm 3.80, 3 Ac 3.86
Tm (0.6269, 0.6269, 0.6269)  12 Mg 3.61-3.67, 4 Ac 3.80-3.82
Mg (0.0580, 0.5641, 0.5641)  6 Mg 3.10-3.17
Mg (0.0654, 0.0654, 0.5664)  6 Mg 3.09-3.19
Mg (0.0654, 0.5664, 0.0654)  6 Mg 3.09-3.19
Mg (0.3138, 0.3138, 0.3138)  6 Mg 3.09-3.11
Mg (0.5641, 0.0580, 0.5641)  6 Mg 3.10-3.17
Mg (0.5641, 0.5641, 0.0580)  6 Mg 3.10-3.17
Mg (0.5664, 0.0654, 0.0654)  6 Mg 3.09-3.19
Mg (0.8137, 0.8137, 0.8137)  6 Mg 3.17-3.19



| no. | formation energy (eV/atom) | uncorrected energy (eV per atom) |
| --- | --- | --- |
| 1 | -0.064 | -2.075 |
| 2 | -0.091 | -2.554 |